# AlMo2P | Alexandria via LeMat-Bulk | PBE | optimized geometry
data_AlMo2P
_symmetry_space_group_name_H-M 'P 1'
_symmetry_Int_Tables_number 1
_cell_length_a 7.2055
_cell_length_b 7.2055
_cell_length_c 5.6934
_cell_angle_alpha 50.74
_cell_angle_beta 50.74
_cell_angle_gamma 90.00
loop_
_symmetry_equiv_pos_as_xyz
'x,y,z'
loop_
_atom_site_label
_atom_site_type_symbol
_atom_site_fract_x
_atom_site_fract_y
_atom_site_fract_z
P1 P 0.0000 0.0000 0.0000
P2 P 0.7500 0.2500 0.5000
Mo1 Mo 0.6953 0.1250 0.2500
Mo2 Mo 0.0547 0.6250 0.2500
Mo3 Mo 0.3750 0.3047 0.7500
Mo4 Mo 0.8750 0.9453 0.7500
Al1 Al 0.5000 0.5000 0.0000
Al2 Al 0.2500 0.7500 0.5000
# Density of states at the Fermi level   0.820 states/eV/cell
# ρ   6.29 Mg/m³
# Energy of formation   0.1386 eV/atom
# Symmetry   No. 122
# ΔE to the lowest computed polymorph   0.479 eV/atom